TaMnOsRh after structural relaxation. Source: the Alexandria database, functional GGA-PBE.

Results
- uncorrected energy (eV for the cell shown) = -40.66
- mass density (g cm⁻³) = 14.42
- crystal system = cubic
- calculated formation energy (eV/atom) = -0.26
- spin magnetization (μB per atom) = 1.189
- DOS at the Fermi energy (states/eV/f.u.) = 2.09
- calculated volume (Å³/atom) = 15.23

a = 4.417 Å, b = 4.417 Å, c = 4.417 Å
α = 60.00°, β = 60.00°, γ = 60.00°
Atoms (fractional coordinates):
Ta (0.000, 0.000, 0.000)
Mn (0.500, 0.500, 0.500)
Os (0.250, 0.250, 0.250)
Rh (0.750, 0.750, 0.750)